Record 1
Mg2TeIr: relaxed, PBE.

* total DFT energy (no corrections): -15.1 eV per formula unit

Unit cell a=7.655 b=7.655 c=6.136 alpha=51.41 beta=51.41 gamma=90.00
Atoms (fractional coordinates):
Mg 0.875 0.912 0.750
Mg 0.662 0.125 0.250
Mg 0.088 0.625 0.250
Mg 0.375 0.338 0.750
Ir 0.750 0.250 0.500
Ir 0.000 0.000 0.000
Te 0.500 0.500 0.000
Te 0.250 0.750 0.500



Record 2
Mg2TeIr: relaxed, PBE.

* total DFT energy (no corrections): -15.1 eV per formula unit

Unit cell a=3.177 b=3.177 c=8.241 alpha=90.00 beta=90.00 gamma=90.00
Atoms (fractional coordinates):
Te 0.000 0.000 0.547
Ir 0.500 0.500 0.755
Mg 0.000 0.000 0.958
Mg 0.500 0.500 0.240



Record 3
MgTe2Ir: relaxed, PBE.

* total DFT energy (no corrections): -17.9 eV per formula unit

Unit cell a=5.048 b=5.048 c=6.466 alpha=70.91 beta=70.91 gamma=45.81
Atoms (fractional coordinates):
Ir 0.459 0.459 0.369
Te 0.844 0.844 0.657
Te 0.024 0.024 0.076
Mg 0.173 0.173 0.398



Record 4
MgTeIr2: relaxed, PBE.

* total DFT energy (no corrections): -22.3 eV per formula unit

Unit cell a=4.993 b=4.993 c=4.476 alpha=74.61 beta=74.61 gamma=39.66
Atoms (fractional coordinates):
Te 0.259 0.259 0.194
Ir 0.755 0.755 0.679
Ir 0.993 0.993 0.064
Mg 0.494 0.494 0.563



How do the records compare in raw formation energy? In the order shown, they have 2.5; 1.2; -28.3; 3.7 kJ/mol of atoms.